{"formula": "KMgSi2", "functional": "PBE-GGA", "state": "relaxed", "cell": [[4.9945, 0.0000, 0.0000], [2.4972, 4.3253, 0.0000], [2.4972, 1.4418, 4.0780]], "species": ["K", "Mg", "Si", "Si"], "fractional_positions": [[0.5000, 0.5000, 0.5000], [0.7500, 0.7500, 0.7500], [0.0000, 0.0000, 0.0000], [0.2500, 0.2500, 0.2500]], "sg": "F-43m, No. 216", "total_magnetization_mub_per_fu": 0.0, "formation_energy_uncorrected_ev_per_atom": 0.5762}